# Ca2MnTcSe, relaxed, DFT PBE-GGA
data_Ca2MnTcSe
_chemical_formula_sum 'Ca2 Mn1 Tc1 Se1'
_cell_length_a 5.4728
_cell_length_b 5.4728
_cell_length_c 4.5971
_cell_angle_alpha 90.00
_cell_angle_beta 90.00
_cell_angle_gamma 90.00
_symmetry_space_group_name_H-M 'P 4/m m m'
_symmetry_Int_Tables_number 123
_symmetry_space_group_name_Hall '-P 4 2'
loop_
_atom_site_label
_atom_site_fract_x
_atom_site_fract_y
_atom_site_fract_z
Ca1 0.0000 0.5000 0.0000
Mn1 0.0000 0.0000 0.5000
Tc1 0.5000 0.5000 0.5000
Se1 0.5000 0.5000 0.0000
# Formation energy from raw total energies   1.460 eV/f.u.
# Calculated volume   27.54 Å³ per atom
# ρ   3.763 g/cm³
# E   -5.113 eV per atom

---

# Ca2CeSm, relaxed, DFT PBE-GGA
data_Ca2CeSm
_chemical_formula_sum 'Ca6 Ce3 Sm3'
_cell_length_a 3.5488
_cell_length_b 3.5488
_cell_length_c 39.7574
_cell_angle_alpha 90.00
_cell_angle_beta 90.00
_cell_angle_gamma 120.00
_symmetry_space_group_name_H-M 'R -3 m'
_symmetry_Int_Tables_number 166
_symmetry_space_group_name_Hall '-R 3 2"'
loop_
_atom_site_label
_atom_site_fract_x
_atom_site_fract_y
_atom_site_fract_z
Ca1 0.0000 0.0000 0.0882
Ce1 0.0000 0.0000 0.5000
Sm1 0.0000 0.0000 0.0000
# Calculated volume   36.13 Å³ per atom
# Energy relative to the elements   0.2887 eV per atom
# ρ   4.258 g/cm³
# E   -3.375 eV per atom

---

# MgBi2Pd4, relaxed, DFT PBE-GGA
data_MgBi2Pd4
_chemical_formula_sum 'Mg1 Bi2 Pd4'
_cell_length_a 4.6346
_cell_length_b 4.6346
_cell_length_c 6.6161
_cell_angle_alpha 90.00
_cell_angle_beta 90.00
_cell_angle_gamma 90.00
_symmetry_space_group_name_H-M 'P 4/m m m'
_symmetry_Int_Tables_number 123
_symmetry_space_group_name_Hall '-P 4 2'
loop_
_atom_site_label
_atom_site_fract_x
_atom_site_fract_y
_atom_site_fract_z
Mg1 0.0000 0.0000 0.0000
Bi1 0.0000 0.0000 0.5000
Bi2 0.5000 0.5000 0.0000
Pd1 0.0000 0.5000 0.2522
# Calculated volume   20.30 Å³ per atom
# Energy relative to the elements   -0.2908 eV per atom
# ρ   10.142 g/cm³
# E   -4.595 eV per atom

---

# CoI2N, relaxed, DFT PBE-GGA
data_CoI2N
_chemical_formula_sum 'Co4 I8 N4'
_cell_length_a 5.5427
_cell_length_b 5.5427
_cell_length_c 11.7221
_cell_angle_alpha 90.00
_cell_angle_beta 90.00
_cell_angle_gamma 90.00
_symmetry_space_group_name_H-M 'I -4 2 d'
_symmetry_Int_Tables_number 122
_symmetry_space_group_name_Hall 'I -4 2bw'
loop_
_atom_site_label
_atom_site_fract_x
_atom_site_fract_y
_atom_site_fract_z
Co1 0.0000 0.0000 0.0000
I1 0.2455 0.2500 0.1250
N1 0.0000 0.0000 0.5000
# Formation energy from raw total energies   4.931 eV/f.u.
# Excess energy over the best structure of this formula in the dataset   0.00 eV/f.u.
# Calculated volume   22.51 Å³ per atom
# ρ   6.027 g/cm³
# E   -3.400 eV per atom

---

# ZnCo4Hg, relaxed, DFT PBE-GGA
data_ZnCo4Hg
_chemical_formula_sum 'Zn4 Co16 Hg4'
_cell_length_a 6.8421
_cell_length_b 6.8421
_cell_length_c 6.8421
_cell_angle_alpha 90.00
_cell_angle_beta 90.00
_cell_angle_gamma 90.00
_symmetry_space_group_name_H-M 'F -4 3 m'
_symmetry_Int_Tables_number 216
_symmetry_space_group_name_Hall 'F -4 2 3'
loop_
_atom_site_label
_atom_site_fract_x
_atom_site_fract_y
_atom_site_fract_z
Zn1 0.0000 0.0000 0.0000
Co1 0.1256 0.1256 0.6256
Hg1 0.2500 0.2500 0.2500
# Calculated volume   13.35 Å³ per atom
# Energy relative to the elements   0.2681 eV per atom
# ρ   10.404 g/cm³
# E   -4.732 eV per atom

---

# Pm7Ge3Te, relaxed, DFT PBE-GGA
data_Pm7Ge3Te
_chemical_formula_sum 'Pm14 Ge6 Te2'
_cell_length_a 9.8593
_cell_length_b 11.1747
_cell_length_c 6.4573
_cell_angle_alpha 90.00
_cell_angle_beta 112.89
_cell_angle_gamma 90.00
_symmetry_space_group_name_H-M 'C 1 2/m 1'
_symmetry_Int_Tables_number 12
_symmetry_space_group_name_Hall '-C 2y'
loop_
_atom_site_label
_atom_site_fract_x
_atom_site_fract_y
_atom_site_fract_z
Pm1 0.0000 0.0000 0.0000
Pm2 0.1639 0.5000 0.2025
Pm3 0.1705 0.2883 0.7118
Ge1 0.0000 0.2698 0.0000
Ge2 0.0000 0.5000 0.5000
Te1 0.0000 0.0000 0.5000
# Formation energy from raw total energies   -6.360 eV/f.u.
# Calculated volume   29.79 Å³ per atom
# ρ   6.894 g/cm³
# E   -5.146 eV per atom

---

# LaRhAu3, relaxed, DFT PBE-GGA
data_LaRhAu3
_chemical_formula_sum 'La1 Rh1 Au3'
_cell_length_a 5.0293
_cell_length_b 5.0293
_cell_length_c 5.0293
_cell_angle_alpha 90.00
_cell_angle_beta 90.00
_cell_angle_gamma 90.00
_symmetry_space_group_name_H-M 'P m -3 m'
_symmetry_Int_Tables_number 221
_symmetry_space_group_name_Hall '-P 4 2 3'
loop_
_atom_site_label
_atom_site_fract_x
_atom_site_fract_y
_atom_site_fract_z
La1 0.0000 0.0000 0.0000
Rh1 0.5000 0.5000 0.5000
Au1 0.0000 0.5000 0.5000
# Excess energy over the best structure of this formula in the dataset   0.00 eV/f.u.
# Calculated volume   25.44 Å³ per atom
# Energy relative to the elements   -0.0115 eV per atom
# ρ   10.870 g/cm³
# E   -4.434 eV per atom

---

# PmInCoPt, relaxed, DFT PBE-GGA
data_PmInCoPt
_chemical_formula_sum 'Pm4 In4 Co4 Pt4'
_cell_length_a 6.7697
_cell_length_b 6.7697
_cell_length_c 6.7697
_cell_angle_alpha 90.00
_cell_angle_beta 90.00
_cell_angle_gamma 90.00
_symmetry_space_group_name_H-M 'F -4 3 m'
_symmetry_Int_Tables_number 216
_symmetry_space_group_name_Hall 'F -4 2 3'
loop_
_atom_site_label
_atom_site_fract_x
_atom_site_fract_y
_atom_site_fract_z
Pm1 0.0000 0.0000 0.0000
In1 0.0000 0.0000 0.5000
Co1 0.2500 0.2500 0.7500
Pt1 0.2500 0.2500 0.2500
# Calculated volume   19.39 Å³ per atom
# Energy relative to the elements   -0.4095 eV per atom
# ρ   11.001 g/cm³
# E   -5.568 eV per atom